The following is a PBE-GGA calculation of a relaxed structure of LiBe2As, from Alexandria.

Computed properties:
raw total energy	-13.319	eV/cell
distance to the lowest polymorph of the same formula	0.097	eV per atom
DOS(E_F)	0.25	states/eV per atom
formation enthalpy at 0 K	0.1742	eV per atom

Cell lengths 3.026, 3.026, 5.603 Å; angles 90.00, 90.00, 90.00 degrees
Atoms (fractional coordinates):
Li1 0.000 0.000 0.000
Be1 0.000 0.000 0.556
Be2 0.500 0.500 0.707
As1 0.500 0.500 0.301